Computed, not measured: a relaxed Ac3PmPd crystal at the PBE-GGA level of DFT.

## Properties
* DOS at the Fermi energy: 10.90 states/eV per cell
* size of the total moment: 0.00 μB/f.u.
* E: -4.566 eV/atom

CIF file:
```
data_Ac3PmPd
_cell_length_a 5.9460
_cell_length_b 5.9460
_cell_length_c 5.9460
_cell_angle_alpha 90.00
_cell_angle_beta 90.00
_cell_angle_gamma 90.00
_symmetry_space_group_name_H-M 'P 1'
_symmetry_Int_Tables_number 1
loop_
_symmetry_equiv_pos_as_xyz
'x,y,z'
loop_
_atom_site_label
_atom_site_type_symbol
_atom_site_fract_x
_atom_site_fract_y
_atom_site_fract_z
_atom_site_occupancy
Ac1 Ac 0.0000 0.0000 0.5000 1
Ac2 Ac 0.0000 0.5000 0.0000 1
Ac3 Ac 0.5000 0.0000 0.0000 1
Pm1 Pm 0.5000 0.5000 0.5000 1
Pd1 Pd 0.0000 0.0000 0.0000 1
```